(1)
A plane-wave DFT calculation with PBE was carried out for Th2TcNi4Ge3 after structural relaxation.

Cell: 4.1192 4.1192 9.9551 Å, 90.00 90.00 90.00°
Closest atoms and distances in Å follow each position.
Fractional coordinates of all 10 atoms:
Th  0.5000  0.0000  0.2435  6 Ge 3.15-3.28, 8 Ni 3.16-3.18, 2 Tc 3.28
Th  0.0000  0.5000  0.7565  6 Ge 3.15-3.28, 8 Ni 3.16-3.18, 2 Tc 3.28
Tc  0.5000  0.5000  0.5000  4 Ni 2.45
Ni  0.5000  0.5000  0.0000  4 Ge 2.40
Ni  0.0000  0.0000  0.0000  4 Ge 2.40
Ni  0.5000  0.0000  0.6332  3 Ge 2.41-2.45, 2 Tc 2.45
Ni  0.0000  0.5000  0.3668  3 Ge 2.41-2.45, 2 Tc 2.45
Ge  0.0000  0.0000  0.5000  4 Ni 2.45
Ge  0.5000  0.0000  0.8757  5 Ni 2.40-2.41
Ge  0.0000  0.5000  0.1243  5 Ni 2.40-2.41

Properties
Crystal system: tetragonal
DOS(E_F): 7.5 states/eV per cell
Total DFT energy (no corrections): -67.7 eV per cell
DFT formation energy: -0.55 eV/atom

(2)
A plane-wave DFT calculation with PBE was carried out for LaCr2Ag after structural relaxation.

Cell: 4.4747 4.4799 4.2655 Å, 90.00 90.00 90.00°
Closest atoms and distances in Å follow each position.
Fractional coordinates of all 4 atoms:
Ag  0.0000  0.5000  0.5000  8 Cr 3.09, 4 La 3.17
Cr  0.0000  0.0000  0.0000  4 La 3.09, 4 Ag 3.09, 4 Cr 3.17
Cr  0.5000  0.5000  0.0000  4 Ag 3.09, 4 La 3.09, 4 Cr 3.17
La  0.5000  0.0000  0.5000  8 Cr 3.09, 4 Ag 3.17

Properties
Crystal system: tetragonal
DOS(E_F): 3.0 states/eV per cell
Total DFT energy (no corrections): -24.7 eV per cell
DFT formation energy: 0.58 eV/atom

(3)
A plane-wave DFT calculation with PBE was carried out for YEr8Mg2 after structural relaxation.

Cell: 5.5901 8.6756 8.8167 Å, 60.53 77.73 64.40°
Closest atoms and distances in Å follow each position.
Fractional coordinates of all 11 atoms:
Y  0.5000  0.0000  0.0000  4 Er 3.21-3.27
Er  0.8699  0.0974  0.2234  2 Mg 3.17-3.42, 5 Er 3.27-3.55
Er  0.8699  0.3208  0.7766  2 Mg 3.17-3.42, 5 Er 3.27-3.55
Er  0.2981  0.4069  0.0000  4 Er 3.01-3.37, 1 Y 3.21, 2 Mg 3.32
Er  0.5000  0.7870  0.4259  2 Mg 3.15, 1 Y 3.27
Er  0.5000  0.2130  0.5741  2 Mg 3.15, 1 Y 3.27
Er  0.7019  0.5931  0.0000  4 Er 3.01-3.37, 1 Y 3.21, 2 Mg 3.32
Er  0.1301  0.6792  0.2234  2 Mg 3.17-3.42, 5 Er 3.27-3.55
Er  0.1301  0.9026  0.7766  2 Mg 3.17-3.42, 5 Er 3.27-3.55
Mg  0.0000  0.3070  0.3860  8 Er 3.15-3.42
Mg  0.0000  0.6930  0.6140  8 Er 3.15-3.42

Properties
Crystal system: monoclinic
DOS(E_F): 14.9 states/eV per cell
Total DFT energy (no corrections): -44.4 eV per cell
DFT formation energy: 0.16 eV/atom

(4)
A plane-wave DFT calculation with PBE was carried out for Pr3TeAu after structural relaxation.

Cell: 4.3221 7.8614 9.6114 Å, 93.89 90.00 90.00°
Closest atoms and distances in Å follow each position.
Fractional coordinates of all 10 atoms:
Pr  0.2500  0.0190  0.2851  2 Au 3.13, 3 Te 3.23-3.24
Pr  0.2500  0.4833  0.3222  2 Au 3.17, 3 Te 3.20-3.32
Pr  0.2500  0.2899  0.9432  2 Au 3.03
Pr  0.7500  0.9810  0.7149  2 Au 3.13, 3 Te 3.23-3.24
Pr  0.7500  0.7101  0.0568  2 Au 3.03
Pr  0.7500  0.5167  0.6778  2 Au 3.17, 3 Te 3.20-3.32
Te  0.7500  0.7688  0.4144  7 Pr 3.20-3.44
Te  0.2500  0.2312  0.5856  7 Pr 3.20-3.44
Au  0.7500  0.2518  0.1598  6 Pr 3.03-3.17
Au  0.2500  0.7482  0.8402  6 Pr 3.03-3.17

Properties
Crystal system: monoclinic
DOS(E_F): 11.7 states/eV per cell
Total DFT energy (no corrections): -49.4 eV per cell
Formation energy from raw total energies: -3.924 eV/f.u.

(5)
A plane-wave DFT calculation with PBE was carried out for NbRe2HRu after structural relaxation.

Cell: 3.9620 3.9620 4.0715 Å, 90.00 90.00 90.00°
Closest atoms and distances in Å follow each position.
Fractional coordinates of all 5 atoms:
Re  0.0000  0.5000  0.0000  2 H 1.98
Re  0.5000  0.0000  0.0000  2 H 1.98
Nb  0.0000  0.0000  0.5000  2 H 2.04
H  0.0000  0.0000  0.0000  4 Re 1.98, 2 Nb 2.04
Ru  0.5000  0.5000  0.5000  4 Nb 2.80, 8 Re 2.84

Properties
Crystal system: tetragonal
DOS(E_F): 2.8 states/eV per cell
Total DFT energy (no corrections): -47.4 eV per cell

(6)
A plane-wave DFT calculation with PBE was carried out for Tc4HgRh after structural relaxation.

Cell: 5.1550 5.1550 5.1550 Å, 60.00 60.00 60.00°
Closest atoms and distances in Å follow each position.
Fractional coordinates of all 6 atoms:
Tc  0.6256  0.6256  0.1231  6 Tc 2.56-2.59
Tc  0.6256  0.1231  0.6256  6 Tc 2.56-2.59
Tc  0.6256  0.6256  0.6256  6 Tc 2.56-2.59
Tc  0.1231  0.6256  0.6256  6 Tc 2.56-2.59
Hg  0.2500  0.2500  0.2500  12 Tc 3.02, 4 Rh 3.16
Rh  0.0000  0.0000  0.0000  12 Tc 3.02, 4 Hg 3.16

Properties
Crystal system: cubic
DOS(E_F): 8.4 states/eV per cell
Total DFT energy (no corrections): -46.1 eV per cell
DFT formation energy: 0.51 eV/atom

(7)
A plane-wave DFT calculation with PBE was carried out for Fe2BiHS after structural relaxation.

Cell: 4.9640 5.3673 4.9640 Å, 90.00 90.00 90.00°
Closest atoms and distances in Å follow each position.
Fractional coordinates of all 5 atoms:
H  0.5000  0.5000  0.5000  4 S 3.51, 8 Fe 3.66
S  0.0000  0.5000  0.0000  2 Bi 2.68
Bi  0.0000  0.0000  0.0000  4 Fe 2.48, 2 S 2.68
Fe  0.0000  0.0000  0.5000  2 Bi 2.48
Fe  0.5000  0.0000  0.0000  2 Bi 2.48

Properties
Crystal system: tetragonal
DOS(E_F): 8.4 states/eV per cell
Total DFT energy (no corrections): -19.8 eV per cell

(8)
A plane-wave DFT calculation with PBE was carried out for SrMgGaAu2 after structural relaxation.

Cell: 4.3354 4.3354 6.8726 Å, 108.39 108.39 90.00°
Closest atoms and distances in Å follow each position.
Fractional coordinates of all 5 atoms:
Sr  0.0000  0.0000  0.0000  8 Au 3.38, 4 Ga 3.76, 4 Mg 3.76
Mg  0.7500  0.2500  0.5000  4 Au 2.72
Ga  0.2500  0.7500  0.5000  4 Au 2.72
Au  0.6159  0.6159  0.2318  2 Ga 2.72, 2 Mg 2.72, 1 Au 2.85
Au  0.3841  0.3841  0.7682  2 Mg 2.72, 2 Ga 2.72, 1 Au 2.85

Properties
Crystal system: tetragonal
DOS(E_F): 2.5 states/eV per cell
Total DFT energy (no corrections): -16.0 eV per cell
DFT formation energy: -0.63 eV/atom

(9)
A plane-wave DFT calculation with PBE was carried out for Ac2Sm7 after structural relaxation.

Cell: 6.4502 6.4502 9.0273 Å, 90.00 90.00 120.00°
Closest atoms and distances in Å follow each position.
Fractional coordinates of all 9 atoms:
Ac  0.3333  0.6667  0.0000  9 Sm 3.72-3.75, 3 Ac 3.72
Ac  0.6667  0.3333  0.0000  9 Sm 3.72-3.75, 3 Ac 3.72
Sm  0.0000  0.0000  0.0000  6 Ac 3.72, 6 Sm 3.73
Sm  0.6698  0.0000  0.3392  10 Sm 3.60-3.74, 2 Ac 3.75
Sm  0.0000  0.6698  0.3392  10 Sm 3.60-3.74, 2 Ac 3.75
Sm  0.3302  0.3302  0.3392  10 Sm 3.60-3.74, 2 Ac 3.75
Sm  0.0000  0.3302  0.6608  10 Sm 3.60-3.74, 2 Ac 3.75
Sm  0.3302  0.0000  0.6608  10 Sm 3.60-3.74, 2 Ac 3.75
Sm  0.6698  0.6698  0.6608  10 Sm 3.60-3.74, 2 Ac 3.75

Properties
Crystal system: trigonal
DOS(E_F): 13.0 states/eV per cell
Total DFT energy (no corrections): -40.9 eV per cell
DFT formation energy: 0.04 eV/atom

(10)
A plane-wave DFT calculation with PBE was carried out for Er8BiC4 after structural relaxation.

Cell: 7.6138 7.6138 7.6138 Å, 60.00 60.00 60.00°
Closest atoms and distances in Å follow each position.
Fractional coordinates of all 13 atoms:
Er  0.5788  0.1404  0.1404  3 C 2.49
Er  0.1404  0.5788  0.1404  3 C 2.49
Er  0.1404  0.1404  0.5788  3 C 2.49
Er  0.1404  0.1404  0.1404  3 C 2.49
Er  0.1987  0.6004  0.6004  3 C 2.50, 1 Bi 2.79
Er  0.6004  0.1987  0.6004  3 C 2.50, 1 Bi 2.79
Er  0.6004  0.6004  0.1987  3 C 2.50, 1 Bi 2.79
Er  0.6004  0.6004  0.6004  3 C 2.50, 1 Bi 2.79
Bi  0.7500  0.7500  0.7500  4 Er 2.79
C  0.8860  0.3713  0.3713  6 Er 2.49-2.50
C  0.3713  0.8860  0.3713  6 Er 2.49-2.50
C  0.3713  0.3713  0.8860  6 Er 2.49-2.50
C  0.3713  0.3713  0.3713  6 Er 2.49-2.50

Properties
Crystal system: cubic
DOS(E_F): 4.9 states/eV per cell
Total DFT energy (no corrections): -79.9 eV per cell
DFT formation energy: -0.20 eV/atom

Question: What is the formula in the ninth record?
Answer: Ac2Sm7

Question: What is the formula in the ninth record?
Answer: Ac2Sm7